Entry 1:
CrAg2Te PBE relaxed; D(E_F) = 1.28 states/eV per cell; DFT total energy = -4.323 eV/atom; formation energy from raw total energies = 0.294 eV per atom; total magnetization = 3.8 μB per cell
1.0
-0.838 1.696 -4.456
1.534 -1.050 -4.469
-3.865 -3.330 -1.645
Cr Ag Te
1 2 1
Direct
0.501 0.501 0.504 Cr
0.016 0.016 0.952 Ag
0.764 0.764 0.746 Ag
0.219 0.219 0.298 Te

Entry 2:
RbTl PBE relaxed; relative energy among the computed polymorphs = 221 meV/atom; D(E_F) = 25.38 states/eV per cell; DFT total energy = -1.506 eV/atom; E_form = 0.161 eV/atom; total magnetization = 6.6 μB per cell
1.0
-1.633 7.446 -8.093
-9.864 -4.609 -2.250
-4.862 6.850 7.283
Tl Rb
8 8
Direct
0.604 0.396 0.604 Tl
0.896 0.896 0.896 Tl
0.896 0.104 0.104 Tl
0.396 0.396 0.396 Tl
0.104 0.896 0.104 Tl
0.604 0.604 0.396 Tl
0.104 0.104 0.896 Tl
0.396 0.604 0.604 Tl
0.707 0.707 0.707 Rb
0.707 0.293 0.293 Rb
0.793 0.793 0.207 Rb
0.293 0.707 0.293 Rb
0.207 0.207 0.207 Rb
0.207 0.793 0.793 Rb
0.793 0.207 0.793 Rb
0.293 0.293 0.707 Rb

Entry 3:
Zn8Cu3Au3 PBE relaxed; D(E_F) = 3.60 states/eV per cell; DFT total energy = -2.364 eV/atom; E_form = -0.056 eV/atom; total magnetization = 0.0 μB per cell
1.0
4.118 0.017 1.075
2.241 6.609 1.590
1.120 -1.764 8.038
Zn Au Cu
8 3 3
Direct
0.872 0.503 0.723 Zn
0.374 0.371 0.935 Zn
0.219 0.937 0.330 Zn
0.626 0.629 0.065 Zn
0.671 0.813 0.512 Zn
0.781 0.063 0.670 Zn
0.128 0.497 0.277 Zn
0.329 0.187 0.488 Zn
0.173 0.751 0.821 Au
0.500 0.500 0.500 Au
0.827 0.249 0.179 Au
0.082 0.154 0.838 Cu
0.918 0.846 0.162 Cu
0.500 0.000 0.000 Cu

Entry 4:
Sc3BeNi3 PBE relaxed; D(E_F) = 7.66 states/eV per cell; DFT total energy = -6.162 eV/atom; E_form = -0.439 eV/atom; total magnetization = 0.0 μB per cell
1.0
-3.080 -1.481 -0.737
0.666 -4.215 -2.607
-0.644 -8.054 10.582
Ni Be Sc
6 2 6
Direct
0.032 0.173 0.762 Ni
0.968 0.827 0.238 Ni
0.161 0.213 0.466 Ni
0.889 0.144 0.077 Ni
0.111 0.856 0.923 Ni
0.839 0.787 0.534 Ni
0.228 0.932 0.611 Be
0.772 0.068 0.389 Be
0.606 0.710 0.078 Sc
0.261 0.246 0.232 Sc
0.394 0.290 0.922 Sc
0.517 0.354 0.613 Sc
0.483 0.646 0.387 Sc
0.739 0.754 0.768 Sc

Entry 5:
TcAgPt PBE relaxed; relative energy among the computed polymorphs = 337 meV/atom; D(E_F) = 3.47 states/eV per cell; DFT total energy = -6.148 eV/atom; E_form = 0.272 eV/atom; total magnetization = 0.4 μB per cell
1.0
-1.165 4.778 0.284
-4.394 1.611 -1.537
2.518 -2.949 3.038
Tc Pt Ag
1 1 1
Direct
0.676 0.676 0.000 Tc
0.324 0.324 0.000 Pt
0.001 0.001 0.000 Ag

Entry 6:
MgSc2AlH PBE relaxed; relative energy among the computed polymorphs = 80 meV/atom; D(E_F) = 3.18 states/eV per cell; DFT total energy = -4.482 eV/atom; total magnetization = 0.3 μB per cell
1.0
4.556 0.000 0.000
0.000 4.556 0.000
0.000 0.000 4.083
Mg Al Sc H
1 1 2 1
Direct
0.500 0.500 0.500 Mg
0.000 0.000 0.500 Al
0.500 0.000 0.000 Sc
0.000 0.500 0.000 Sc
0.000 0.000 0.000 H

Entry 7:
BeReAu PBE relaxed; relative energy among the computed polymorphs = 942 meV/atom; D(E_F) = 3.05 states/eV per cell; DFT total energy = -5.301 eV/atom; E_form = 1.183 eV/atom; total magnetization = 1.9 μB per cell
1.0
4.202 0.000 0.000
2.101 3.639 0.000
2.101 1.213 3.431
Be Re Au
1 1 1
Direct
0.500 0.500 0.500 Be
0.750 0.750 0.750 Re
0.000 0.000 0.000 Au

Entry 8:
KTaZnSi2 PBE relaxed; D(E_F) = 5.05 states/eV per cell; DFT total energy = -2.683 eV/atom; formation energy from raw total energies = 2.331 eV per atom; total magnetization = 0.0 μB per cell
1.0
-3.418 3.006 -1.843
-2.708 -3.726 -1.055
-2.124 0.294 4.418
K Si Zn Ta
1 2 1 1
Direct
0.000 0.000 0.000 K
0.000 0.000 0.500 Si
0.500 0.000 0.000 Si
0.000 0.500 0.000 Zn
0.500 0.500 0.500 Ta

Entry 9:
CuHgSe2 PBE relaxed; D(E_F) = 1.53 states/eV per cell; DFT total energy = -2.407 eV/atom; formation energy from raw total energies = 0.435 eV per atom; total magnetization = 0.0 μB per cell
1.0
-2.911 0.196 -4.183
-4.293 -2.293 1.525
2.434 3.862 2.273
Hg Se Cu
1 2 1
Direct
0.750 0.250 0.500 Hg
0.000 0.000 0.000 Se
0.500 0.500 0.000 Se
0.250 0.750 0.500 Cu

Entry 10:
Na3BH6 PBE relaxed; D(E_F) = 0.00 states/eV per cell; DFT total energy = -2.976 eV/atom; total magnetization = 0.0 μB per cell
1.0
5.005 0.000 -0.278
0.000 5.219 0.000
-0.357 0.000 7.661
H Na B
12 6 2
Direct
0.408 0.515 0.698 H
0.704 0.635 0.546 H
0.204 0.865 0.046 H
0.296 0.365 0.454 H
0.092 0.015 0.802 H
0.796 0.135 0.954 H
0.908 0.985 0.198 H
0.336 0.760 0.445 H
0.836 0.740 0.945 H
0.164 0.260 0.055 H
0.664 0.240 0.555 H
0.592 0.485 0.302 H
0.024 0.561 0.236 Na
0.476 0.061 0.264 Na
0.976 0.439 0.764 Na
0.000 0.000 0.500 Na
0.500 0.500 0.000 Na
0.524 0.939 0.736 Na
0.500 0.500 0.500 B
0.000 0.000 0.000 B

Entry 11:
TlSn2BCl PBE relaxed; D(E_F) = 2.20 states/eV per cell; DFT total energy = -2.803 eV/atom; formation energy from raw total energies = 0.976 eV per atom; total magnetization = 0.0 μB per cell
1.0
-5.321 0.043 -1.766
1.266 -1.051 -3.838
-0.484 -5.426 1.326
Tl Sn B Cl
1 2 1 1
Direct
0.500 0.500 0.500 Tl
0.000 0.000 0.500 Sn
0.500 0.000 0.000 Sn
0.000 0.500 0.000 B
0.000 0.000 0.000 Cl

Entry 12:
Li2PmAs2Au2 PBE relaxed; D(E_F) = 1.74 states/eV per cell; DFT total energy = -4.257 eV/atom; E_form = -0.767 eV/atom; total magnetization = 0.0 μB per cell
1.0
-1.807 -3.942 0.522
-0.055 -2.834 -3.322
6.343 -5.140 1.409
Li Au Pm As
2 2 1 2
Direct
0.147 0.147 0.559 Li
0.853 0.853 0.441 Li
0.438 0.438 0.686 Au
0.562 0.562 0.314 Au
0.000 0.000 0.000 Pm
0.261 0.261 0.216 As
0.739 0.739 0.784 As